Entry from the Open Quantum Materials Database: an optimized crystal structure of GdZrZnCo2 (PBE).

Geometry as CIF:
```
data_GdZrZnCo2
_chemical_formula_sum 'Gd2 Zr2 Zn2 Co4'
_space_group_name_H-M_alt 'I m m 2'
_space_group_IT_number 44
_cell_length_a 4.085
_cell_length_b 5.378
_cell_length_c 7.833
_cell_angle_alpha 90.00
_cell_angle_beta 90.00
_cell_angle_gamma 90.00
loop_
_space_group_symop_operation_xyz
'x,y,z'
'-x,-y,z'
'-x,y,z'
'x,-y,z'
'x+1/2,y+1/2,z+1/2'
'-x+1/2,-y+1/2,z+1/2'
'-x+1/2,y+1/2,z+1/2'
'x+1/2,-y+1/2,z+1/2'
loop_
_atom_site_label
_atom_site_fract_x
_atom_site_fract_y
_atom_site_fract_z
Gd1 0.000 0.000 0.000
Zr1 0.000 0.000 0.418
Zn1 0.000 0.500 0.203
Co1 0.000 0.284 0.713
```

Calculated values
- E_form (eV per atom) = -0.27

---

Entry from the Open Quantum Materials Database: an optimized crystal structure of GdZrCo (PBE).

Geometry as CIF:
```
data_GdZrCo
_chemical_formula_sum 'Gd4 Zr4 Co4'
_space_group_name_H-M_alt 'F -4 3 m'
_space_group_IT_number 216
_space_group_name_Hall 'F -4 2 3'
_cell_length_a 6.426
_cell_length_b 6.426
_cell_length_c 6.426
_cell_angle_alpha 90.00
_cell_angle_beta 90.00
_cell_angle_gamma 90.00
loop_
_atom_site_label
_atom_site_fract_x
_atom_site_fract_y
_atom_site_fract_z
Gd1 0.000 0.000 0.000
Zr1 0.250 0.250 0.250
Co1 0.250 0.250 0.750
```

Calculated values
- E_form (eV per atom) = 1.00

---

Entry from the Open Quantum Materials Database: an optimized crystal structure of Co15Ge (PBE).

Geometry as CIF:
```
data_Co15Ge
_chemical_formula_sum 'Co30 Ge2'
_space_group_name_H-M_alt 'P 1 21/m 1'
_space_group_IT_number 11
_cell_length_a 7.014
_cell_length_b 2.493
_cell_length_c 33.522
_cell_angle_alpha 90.00
_cell_angle_beta 90.00
_cell_angle_gamma 90.00
loop_
_space_group_symop_operation_xyz
'x,y,z'
'-x,-y,-z'
'-x,y+1/2,-z'
'x,-y+1/2,z'
loop_
_atom_site_label
_atom_site_fract_x
_atom_site_fract_y
_atom_site_fract_z
Co1 0.117 0.250 0.259
Co2 0.125 0.250 0.408
Co3 0.125 0.250 0.481
Co4 0.125 0.250 0.556
Co5 0.125 0.250 0.629
Co6 0.125 0.250 0.704
Co7 0.125 0.250 0.775
Co8 0.126 0.250 0.333
Co9 0.367 0.750 0.741
Co10 0.375 0.750 0.298
Co11 0.375 0.750 0.371
Co12 0.375 0.750 0.445
Co13 0.375 0.750 0.519
Co14 0.375 0.750 0.592
Co15 0.376 0.750 0.667
Ge1 0.375 0.750 0.222
```

Calculated values
- energy above the most stable polymorph in this dataset (meV/atom) = 66

---

Entry from the Open Quantum Materials Database: an optimized crystal structure of Co9Ge2 (PBE).

Geometry as CIF:
```
data_Co9Ge2
_chemical_formula_sum 'Co9 Ge2'
_space_group_name_H-M_alt 'P -3 m 1'
_space_group_IT_number 164
_space_group_name_Hall '-P 3 2"'
_cell_length_a 2.5250
_cell_length_b 2.5250
_cell_length_c 34.1224
_cell_angle_alpha 90.00
_cell_angle_beta 90.00
_cell_angle_gamma 120.00
loop_
_atom_site_label
_atom_site_fract_x
_atom_site_fract_y
_atom_site_fract_z
Co1 0.0000 0.0000 0.0000
Co2 0.0000 0.0000 0.1720
Co3 0.3333 0.6667 0.1145
Co4 0.3333 0.6667 0.7708
Co5 0.3333 0.6667 0.9427
Ge1 0.3333 0.6667 0.2901
```

Calculated values
- VASP energy (eV per atom) = -6.48

---

Entry from the Open Quantum Materials Database: an optimized crystal structure of Co2Ge3 (PBE).

Geometry as CIF:
```
data_Co2Ge3
_chemical_formula_sum 'Co12 Ge18'
_space_group_name_H-M_alt 'R -3 c'
_space_group_IT_number 167
_space_group_name_Hall '-R 3 2"c'
_cell_length_a 5.6566
_cell_length_b 5.6566
_cell_length_c 16.6623
_cell_angle_alpha 90.00
_cell_angle_beta 90.00
_cell_angle_gamma 120.00
loop_
_atom_site_label
_atom_site_fract_x
_atom_site_fract_y
_atom_site_fract_z
Co1 0.0000 0.0000 0.1701
Ge1 0.0000 0.3521 0.2500
```

Calculated values
- VASP energy (eV per atom) = -5.70

---

Entry from the Open Quantum Materials Database: an optimized crystal structure of Co7Ge2 (PBE).

Geometry as CIF:
```
data_Co7Ge2
_chemical_formula_sum 'Co7 Ge2'
_space_group_name_H-M_alt 'P -3 m 1'
_space_group_IT_number 164
_space_group_name_Hall '-P 3 2"'
_cell_length_a 2.5925
_cell_length_b 2.5925
_cell_length_c 30.8799
_cell_angle_alpha 90.00
_cell_angle_beta 90.00
_cell_angle_gamma 120.00
loop_
_atom_site_label
_atom_site_fract_x
_atom_site_fract_y
_atom_site_fract_z
Co1 0.0000 0.0000 0.0000
Co2 0.0000 0.0000 0.1931
Co3 0.3333 0.6667 0.1298
Co4 0.3333 0.6667 0.9353
Ge1 0.3333 0.6667 0.7383
```

Calculated values
- VASP energy (eV per atom) = -6.38